(1)
Compound: Zr2PPbW
Source: the Alexandria database
Functional: GGA-PBE
Structure: relaxed Values from VASP.

Geometry as Quantum ESPRESSO input:
```
&SYSTEM
  ibrav = 0, nat = 5, ntyp = 4
/
ATOMIC_SPECIES
Zr 91.22 Zr.upf
P 30.97 P.upf
Pb 207.20 Pb.upf
W 183.84 W.upf
ATOMIC_POSITIONS angstrom
Zr 0.000 0.000 2.677
Zr 2.677 0.000 0.000
P 2.677 2.509 2.677
Pb 0.000 0.000 0.000
W 0.000 2.509 0.000
CELL_PARAMETERS angstrom
5.354 0.000 0.000
0.000 5.018 0.000
0.000 0.000 5.354
```

Values from the calculation:
The formation energy is 9.973 eV/f.u. As for the space group: P4/mmm. Its theoretical density is 6.978 Mg/m³. The volume comes out at 28.769 A^3/atom. For the total energy, the calculation gives -5.84 eV per atom.

---

(2)
Compound: Y3PPb
Source: the Alexandria database
Functional: GGA-PBE
Structure: relaxed Values from VASP.

Geometry as Quantum ESPRESSO input:
```
&SYSTEM
  ibrav = 0, nat = 10, ntyp = 3
/
ATOMIC_SPECIES
Y 88.91 Y.upf
Pb 207.20 Pb.upf
P 30.97 P.upf
ATOMIC_POSITIONS angstrom
Y -1.173 -6.550 -0.961
Y -3.427 -4.396 0.627
Y 1.032 -2.986 1.190
Y -0.961 -7.186 -4.595
Y 1.244 -3.622 -2.444
Y 3.498 -5.776 -4.032
Pb -1.964 -3.613 -2.213
Pb 2.035 -6.559 -1.192
P 1.086 -1.343 -0.962
P -1.015 -8.829 -2.443
CELL_PARAMETERS angstrom
-5.405 -2.447 -4.352
5.059 -4.835 -3.564
0.417 -2.890 4.512
```

Values from the calculation:
The formation energy is -3.997 eV/f.u. As for the space group: P2_1/m. For the offset from the most stable computed form, the calculation gives 115 meV/atom. Its theoretical density is 5.824 Mg/m³. The volume comes out at 28.793 A^3/atom. For the total energy, the calculation gives -6.50 eV per atom.

---

(3)
Compound: Y3PPb
Source: the Alexandria database
Functional: GGA-PBE
Structure: relaxed Values from VASP.

Geometry as Quantum ESPRESSO input:
```
&SYSTEM
  ibrav = 0, nat = 10, ntyp = 3
/
ATOMIC_SPECIES
Y 88.91 Y.upf
Pb 207.20 Pb.upf
P 30.97 P.upf
ATOMIC_POSITIONS angstrom
Y 2.213 -10.530 2.684
Y 0.309 -5.535 4.942
Y 2.500 -6.978 3.247
Y 2.350 -6.566 -3.391
Y 0.446 -1.571 -1.133
Y 0.159 -5.122 -1.696
Pb 0.179 -5.179 1.595
Pb 2.479 -6.922 -0.044
P -0.052 -8.260 3.918
P 2.711 -3.841 -2.367
CELL_PARAMETERS angstrom
-2.727 -1.497 -2.249
4.639 -3.057 -3.590
0.746 -7.547 7.390
```

Values from the calculation:
The formation energy is -3.569 eV/f.u. As for the space group: P2_1/m. For the offset from the most stable computed form, the calculation gives 201 meV/atom. Its theoretical density is 6.342 Mg/m³. The volume comes out at 26.439 A^3/atom. For the total energy, the calculation gives -6.42 eV per atom.

---

(4)
Compound: YPPb
Source: the Alexandria database
Functional: GGA-PBE
Structure: relaxed Values from VASP.

Geometry as Quantum ESPRESSO input:
```
&SYSTEM
  ibrav = 0, nat = 3, ntyp = 3
/
ATOMIC_SPECIES
Pb 207.20 Pb.upf
P 30.97 P.upf
Y 88.91 Y.upf
ATOMIC_POSITIONS angstrom
Pb -0.845 2.932 0.172
P -1.478 1.258 3.140
Y -3.720 1.915 1.843
CELL_PARAMETERS angstrom
1.733 4.203 -0.868
-4.219 -1.126 -1.534
-1.778 1.514 3.779
```

Values from the calculation:
The formation energy is -1.142 eV/f.u. As for the space group: P3m1. For the offset from the most stable computed form, the calculation gives 301 meV/atom. Its theoretical density is 6.590 Mg/m³. The volume comes out at 27.472 A^3/atom. For the total energy, the calculation gives -5.57 eV per atom.

---

Question: Look up the theoretical density of the second one.
Answer: 5.824 Mg/m³

---

Copy entry 4 word for word.
Compound: YPPb
Source: the Alexandria database
Functional: GGA-PBE
Structure: relaxed Values from VASP.

Geometry as Quantum ESPRESSO input:
```
&SYSTEM
  ibrav = 0, nat = 3, ntyp = 3
/
ATOMIC_SPECIES
Pb 207.20 Pb.upf
P 30.97 P.upf
Y 88.91 Y.upf
ATOMIC_POSITIONS angstrom
Pb -0.845 2.932 0.172
P -1.478 1.258 3.140
Y -3.720 1.915 1.843
CELL_PARAMETERS angstrom
1.733 4.203 -0.868
-4.219 -1.126 -1.534
-1.778 1.514 3.779
```

Values from the calculation:
The formation energy is -1.142 eV/f.u. As for the space group: P3m1. For the offset from the most stable computed form, the calculation gives 301 meV/atom. Its theoretical density is 6.590 Mg/m³. The volume comes out at 27.472 A^3/atom. For the total energy, the calculation gives -5.57 eV per atom.